No. 1
# IrPdSe2N

A geometry-optimized IrPdSe2N structure (PBE, Alexandria).

Cell lengths 5.116, 5.116, 3.614 Å; angles 90.00, 90.00, 90.00 degrees
Sites, in units of the cell vectors:
Ir  0.000  0.000  0.000
Pd  0.500  0.500  0.500
Se  0.000  0.500  0.000
Se  0.500  0.000  0.000
N  0.000  0.000  0.500

Uncorrected formation energy in eV/atom: 0.524
Space-group type: P4/mmm, No. 123
Calculated density in g cm⁻³: 8.3


No. 2
# IrPdSeN2

A geometry-optimized IrPdSeN2 structure (PBE, Alexandria).

Cell lengths 3.735, 3.735, 5.748 Å; angles 90.00, 90.00, 90.00 degrees
Sites, in units of the cell vectors:
Ir  0.000  0.000  0.000
Pd  0.500  0.500  0.500
Se  0.000  0.000  0.500
N  0.000  0.500  0.000
N  0.500  0.000  0.000

Uncorrected formation energy in eV/atom: 0.784
Space-group type: P4/mmm, No. 123
Calculated density in g cm⁻³: 8.4


No. 3
# IrPdSe2N

A geometry-optimized IrPdSe2N structure (PBE, Alexandria).

Cell lengths 5.039, 5.039, 3.599 Å; angles 90.00, 90.00, 90.00 degrees
Sites, in units of the cell vectors:
Ir  0.000  0.000  0.000
Pd  0.500  0.500  0.500
Se  0.000  0.500  0.500
Se  0.500  0.000  0.500
N  0.500  0.500  0.000

Uncorrected formation energy in eV/atom: 1.261
Space-group type: P4/mmm, No. 123
Calculated density in g cm⁻³: 8.5


Energy above the most stable polymorph in this dataset values, unit eV/atom, following the record order: 0.000 0.000 0.737.
Total magnetic moment values, unit μB/f.u., following the record order: 0.0 0.3 0.5.